DFT (meta-GGA SCAN) results for a crystal of DyCo5P3 relaxed with PBEsol.

Properties
Fermi-level density of states: 0.325 states/eV/atom
energy of formation: -0.788 eV per atom
size of the total moment: 0.2025 μB per atom

a b c (Å): 11.5706 3.5923 10.1544
angles (deg): 90.00 90.00 90.00
Closest atoms and distances in Å follow each position.
Atoms (fractional coordinates):
Dy 0.2029 0.2500 0.0836  6 P 2.76-2.82, 9 Co 2.85-3.07
Dy 0.2971 0.7500 0.5836  6 P 2.76-2.82, 9 Co 2.85-3.07
Dy 0.7029 0.2500 0.4164  6 P 2.76-2.82, 9 Co 2.85-3.07
Dy 0.7971 0.7500 0.9164  6 P 2.76-2.82, 9 Co 2.85-3.07
Co 0.0085 0.7500 0.7162  3 P 2.18-2.40
Co 0.0121 0.7500 0.0930  4 P 2.26-2.28
Co 0.0685 0.7500 0.4687  4 P 2.12-2.20
Co 0.1765 0.2500 0.7804  4 P 2.14-2.30
Co 0.1981 0.2500 0.3833  4 P 2.24-2.27, 2 Co 2.49
Co 0.3019 0.7500 0.8833  4 P 2.24-2.27, 2 Co 2.49
Co 0.3235 0.7500 0.2804  4 P 2.14-2.30
Co 0.4315 0.2500 0.9687  4 P 2.12-2.20
Co 0.4879 0.2500 0.5930  4 P 2.26-2.28
Co 0.4915 0.2500 0.2162  3 P 2.18-2.40
Co 0.5085 0.7500 0.7838  3 P 2.18-2.40
Co 0.5121 0.7500 0.4070  4 P 2.26-2.28
Co 0.5685 0.7500 0.0313  4 P 2.12-2.20
Co 0.6765 0.2500 0.7196  4 P 2.14-2.30
Co 0.6981 0.2500 0.1167  4 P 2.24-2.27, 2 Co 2.49
Co 0.8019 0.7500 0.6167  4 P 2.24-2.27, 2 Co 2.49
Co 0.8235 0.7500 0.2196  4 P 2.14-2.30
Co 0.9315 0.2500 0.5313  4 P 2.12-2.20
Co 0.9879 0.2500 0.9070  4 P 2.26-2.28
Co 0.9915 0.2500 0.2838  3 P 2.18-2.40
P 0.1089 0.7500 0.8982  7 Co 2.18-2.30
P 0.1115 0.2500 0.5832  5 Co 2.14-2.26
P 0.1291 0.7500 0.2713  5 Co 2.12-2.27
P 0.3709 0.2500 0.7713  5 Co 2.12-2.27
P 0.3885 0.7500 0.0832  5 Co 2.14-2.26
P 0.3911 0.2500 0.3982  7 Co 2.18-2.30
P 0.6089 0.7500 0.6018  7 Co 2.18-2.30
P 0.6115 0.2500 0.9168  5 Co 2.14-2.26
P 0.6291 0.7500 0.2287  5 Co 2.12-2.27
P 0.8709 0.2500 0.7287  5 Co 2.12-2.27
P 0.8885 0.7500 0.4168  5 Co 2.14-2.26
P 0.8911 0.2500 0.1018  7 Co 2.18-2.30